(1)
Below is crystalline Th3Tl2Sn at its relaxed geometry, with properties calculated at the GGA-PBE level.

Unit cell a=5.905 b=17.798 c=3.354 alpha=90.00 beta=90.00 gamma=90.00
Space group Cmmm (No. 65)
Unique sites:
Th 0.000 0.000 0.000 (multiplicity 2)
Th 0.000 0.337 0.000 (multiplicity 4)
Tl 0.000 0.168 0.500 (multiplicity 4)
Sn 0.000 0.500 0.500 (multiplicity 2)

Properties
Calculated total energy in eV/atom: -5.42

=====

(2)
Below is crystalline PaBePIr at its relaxed geometry, with properties calculated at the GGA-PBE level.

Unit cell a=4.020 b=4.020 c=8.240 alpha=90.00 beta=90.00 gamma=90.00
Space group P4/nmm (No. 129, origin choice 2)
Unique sites:
Pa 0.250 0.250 0.219 (multiplicity 2)
Be 0.250 0.250 0.629 (multiplicity 2)
P 0.250 0.250 0.881 (multiplicity 2)
Ir 0.250 0.750 0.500 (multiplicity 2)

Properties
Calculated total energy in eV/atom: -7.79

=====

(3)
Below is crystalline Sr2CdP at its relaxed geometry, with properties calculated at the GGA-PBE level.

Unit cell a=4.458 b=4.606 c=11.811 alpha=90.00 beta=90.00 gamma=90.00
Space group Amm2 (No. 38)
Unique sites:
Sr 0.000 0.000 0.000 (multiplicity 2)
Sr 0.500 0.000 0.279 (multiplicity 2)
Cd 0.000 0.000 0.707 (multiplicity 2)
P 0.500 0.000 0.554 (multiplicity 2)

Properties
Distance to the lowest polymorph of the same formula in meV per atom: 0
Calculated total energy in eV/atom: -3.08

=====

(4)
Below is crystalline Mn2HIrW at its relaxed geometry, with properties calculated at the GGA-PBE level.

Unit cell a=3.773 b=3.773 c=3.862 alpha=90.00 beta=90.00 gamma=90.00
Space group P4/mmm (No. 123)
Unique sites:
Mn 0.000 0.500 0.000 (multiplicity 2)
H 0.000 0.000 0.000 (multiplicity 1)
Ir 0.500 0.500 0.500 (multiplicity 1)
W 0.000 0.000 0.500 (multiplicity 1)

Properties
Distance to the lowest polymorph of the same formula in meV per atom: 0
Calculated total energy in eV/atom: -8.75

=====

(5)
Below is crystalline PaFe3Si at its relaxed geometry, with properties calculated at the GGA-PBE level.

Unit cell a=5.102 b=7.069 c=7.739 alpha=90.00 beta=90.00 gamma=90.00
Space group Imma (No. 74)
Unique sites:
Pa 0.000 0.250 0.009 (multiplicity 4)
Fe 0.000 0.250 0.714 (multiplicity 4)
Fe 0.250 0.056 0.250 (multiplicity 8)
Si 0.000 0.000 0.500 (multiplicity 4)

Properties
Uncorrected formation energy in eV per atom: -0.28
Calculated total energy in eV/atom: -8.34

=====

(6)
Below is crystalline Ag2AsSe at its relaxed geometry, with properties calculated at the GGA-PBE level.

Unit cell a=6.818 b=6.818 c=6.818 alpha=90.00 beta=90.00 gamma=90.00
Space group F-43m (No. 216)
Unique sites:
Ag 0.000 0.000 0.000 (multiplicity 4)
Ag 0.250 0.250 0.250 (multiplicity 4)
As 0.250 0.250 0.750 (multiplicity 4)
Se 0.000 0.000 0.500 (multiplicity 4)

Properties
Uncorrected formation energy in eV per atom: 0.37
Calculated total energy in eV/atom: -3.08

=====

(7)
Below is crystalline BaEu3Pt at its relaxed geometry, with properties calculated at the GGA-PBE level.

Unit cell a=5.897 b=5.897 c=5.897 alpha=90.00 beta=90.00 gamma=90.00
Space group Pm-3m (No. 221)
Unique sites:
Ba 0.000 0.000 0.000 (multiplicity 1)
Eu 0.000 0.500 0.500 (multiplicity 3)
Pt 0.500 0.500 0.500 (multiplicity 1)

Properties
Calculated total energy in eV/atom: -8.20

=====

(8)
Below is crystalline GaGe4 at its relaxed geometry, with properties calculated at the GGA-PBE level.

Unit cell a=4.898 b=4.898 c=4.898 alpha=90.00 beta=90.00 gamma=90.00
Space group Pm-3m (No. 221)
Unique sites:
Ga 0.000 0.000 0.000 (multiplicity 1)
Ge 0.000 0.000 0.500 (multiplicity 3)
Ge 0.500 0.500 0.500 (multiplicity 1)

Properties
Calculated total energy in eV/atom: -3.59